# 1
The following is a DFT calculation (PBE) of HfTaAu after structural relaxation.

## Properties
ΔE_f in meV per atom: 393
Density in g cm⁻³: 14.070
Energy above the lowest structure with this stoichiometry in meV per atom: 0
Spin magnetization in μB per formula unit: 0.00
Raw total energy in eV/atom: -7.9652

abc: 4.528 4.528 4.528
angles: 60.00 60.00 60.00
Fractional coordinates of all 3 atoms:
Au  0.000  0.000  0.000
Ta  0.750  0.750  0.750
Hf  0.250  0.250  0.250

***

# 2
The following is a DFT calculation (PBE) of Pr2Al3Ga3 after structural relaxation.

## Properties
Density in g cm⁻³: 5.600
Energy above the lowest structure with this stoichiometry in meV per atom: 0
Spin magnetization in μB per formula unit: 0.01
Raw total energy in eV/atom: -4.2533

abc: 6.570 6.570 4.537
angles: 90.00 90.00 120.00
Fractional coordinates of all 8 atoms:
Ga  0.859  0.141  0.500
Pr  0.667  0.333  0.000
Ga  0.859  0.717  0.500
Al  0.720  0.860  0.000
Al  0.140  0.860  0.000
Ga  0.283  0.141  0.500
Al  0.140  0.280  0.000
Pr  0.333  0.667  0.500

***

# 3
The following is a DFT calculation (PBE) of Hf2Si2W after structural relaxation.

## Properties
Density in g cm⁻³: 11.135
Energy above the lowest structure with this stoichiometry in meV per atom: 1008
Spin magnetization in μB per formula unit: 0.00
Raw total energy in eV/atom: -8.4520

abc: 6.411 6.411 6.411
angles: 144.35 144.35 51.30
Fractional coordinates of all 5 atoms:
Si  0.595  0.595  0.000
W  0.000  0.000  0.000
Hf  0.750  0.250  0.500
Si  0.405  0.405  0.000
Hf  0.250  0.750  0.500

***

Which value of raw total energy does entry 1 give?
-7.9652 eV/atom

***

Look up the density of the second one.
5.600 g cm⁻³

***

Which of these has the highest energy above the lowest structure with this stoichiometry?
Hf2Si2W

***

Which formula does entry 1 have?
HfTaAu